Compound: TbNd3Ir3
Source: Alexandria
Functional: PBE-GGA
Structure: optimized geometry

Summary:
As for the magnetization: 0.000 μB per cell. As for the symmetry: No. 12. As for the formation energy from the elements: -370 kJ/mol of formula units.

Structure (extended XYZ):
```
14
Lattice="6.9472 2.0072 0.9457 -1.2980 7.1140 0.9457 0.1042 0.1683 6.8453" Properties=species:S:1:pos:R:3 pbc="T T T"
Ir 3.5229 1.0720 2.1665
Nd 4.0153 6.4831 4.7120
Ir 0.3830 0.6184 5.4937
Nd 0.3264 6.2243 4.3683
Tb 1.2200 1.9698 0.7288
Ir 5.3705 8.6711 3.2430
Ir 2.2306 8.2175 6.5702
Ir -0.6097 3.6316 2.1665
Nd 5.4271 3.0652 4.3683
Nd 0.9720 5.7080 0.9457
Tb 4.5335 7.3197 8.0079
Nd 4.6772 3.4132 0.9457
Nd 1.7382 2.8064 4.0247
Ir 6.3632 5.6579 6.5702
```

---

Compound: Tb2NdIr
Source: Alexandria
Functional: PBE-GGA
Structure: optimized geometry

Summary:
As for the magnetization: 0.000 μB per cell. The calculation puts the energy above the most stable polymorph in this dataset at 0.033 eV per atom. As for the symmetry: No. 63. As for the formation energy from the elements: -190 kJ/mol of formula units.

Structure (extended XYZ):
```
8
Lattice="3.8830 -0.1615 0.0000 -1.6850 6.2149 0.0000 0.0000 0.0000 9.3433" Properties=species:S:1:pos:R:3 pbc="T T T"
Nd 0.2188 5.2377 2.3358
Nd 1.9792 0.8157 7.0075
Tb 2.1243 4.3059 8.7146
Tb 0.0737 1.7475 0.6287
Ir 2.0665 2.9159 2.3358
Tb 2.1243 4.3059 5.3004
Ir 0.1314 3.1376 7.0075
Tb 0.0737 1.7475 4.0429
```

---

Compound: TbNd2Ir9
Source: Alexandria
Functional: PBE-GGA
Structure: optimized geometry

Summary:
As for the magnetization: 0.000 μB per cell. As for the symmetry: No. 166. As for the formation energy from the elements: -604 kJ/mol of formula units.

Structure (extended XYZ):
```
12
Lattice="-4.0664 -2.3170 2.5943 0.6353 -4.8402 2.1917 1.5334 1.3943 9.1675" Properties=species:S:1:pos:R:3 pbc="T T T"
Nd 0.4144 -0.1857 6.0024
Tb 0.0000 0.0000 0.0000
Ir 1.1910 -1.9388 8.4383
Ir -0.9489 -2.8814 6.9767
Ir -0.7633 -3.3902 12.3320
Ir -0.8239 -3.0868 9.7238
Ir -1.1345 -2.3727 1.6215
Ir -3.0888 -3.8241 5.5152
Nd -2.3122 -5.5772 7.9511
Ir -1.0739 -2.6761 4.2297
Ir -1.1386 -0.6885 8.6378
Ir -0.7592 -5.0744 5.3157
```

---

Compound: Tb4NdIr4
Source: Alexandria
Functional: PBE-GGA
Structure: optimized geometry

Summary:
As for the magnetization: 0.000 μB per cell. As for the symmetry: No. 86. As for the formation energy from the elements: -534 kJ/mol of formula units.

Structure (extended XYZ):
```
18
Lattice="5.6772 0.0000 0.0000 0.0000 8.9863 0.0000 0.0000 0.0000 8.9863" Properties=species:S:1:pos:R:3 pbc="T T T"
Ir 2.2274 3.2896 1.9449
Tb 3.4497 0.8333 2.9718
Ir 3.4498 7.0414 3.2896
Tb 0.6111 7.4649 3.6598
Tb 5.0661 3.6598 1.5214
Tb 2.2275 6.0145 0.8333
Tb 5.0661 5.3265 7.4649
Ir 5.0660 2.5482 7.7827
Nd 0.0000 0.0000 0.0000
Ir 5.0660 6.4381 1.2036
Ir 0.6112 7.7827 6.4381
Tb 2.2275 2.9718 8.1529
Tb 0.6111 1.5214 5.3265
Tb 3.4497 8.1529 6.0145
Ir 3.4498 1.9449 5.6967
Ir 2.2274 5.6967 7.0414
Ir 0.6112 1.2036 2.5482
Nd 2.8386 4.4931 4.4931
```

---

Compound: Tb3NdIr
Source: Alexandria
Functional: PBE-GGA
Structure: optimized geometry

Summary:
As for the magnetization: 0.003 μB per cell. The calculation puts the energy above the most stable polymorph in this dataset at 0.049 eV per atom. As for the symmetry: No. 221. As for the formation energy from the elements: -130 kJ/mol of formula units.

Structure (extended XYZ):
```
5
Lattice="-4.9413 -1.4594 -1.8560 2.3566 -2.7838 -4.0851 0.1452 -4.4846 3.1398" Properties=species:S:1:pos:R:3 pbc="T T T"
Nd -1.2198 -4.3639 -1.4007
Tb 0.0726 -2.2423 1.5699
Ir 0.0000 0.0000 0.0000
Tb -2.4707 -0.7297 -0.9280
Tb 1.1783 -1.3919 -2.0426
```

---

Compound: TbNd2Ir
Source: Alexandria
Functional: PBE-GGA
Structure: optimized geometry

Summary:
As for the magnetization: 0.519 μB per cell. The calculation puts the energy above the most stable polymorph in this dataset at 0.445 eV per atom. As for the symmetry: No. 166. As for the formation energy from the elements: -13 kJ/mol of formula units.

Structure (extended XYZ):
```
4
Lattice="-1.4341 -1.2060 -3.3363 -3.0733 -2.2792 -0.0495 -7.8783 7.4433 -1.4985" Properties=species:S:1:pos:R:3 pbc="T T T"
Nd -5.7354 4.5513 -1.3742
Ir -6.1928 1.9791 -2.4421
Nd -6.6502 -0.5931 -3.5101
Tb 0.0000 0.0000 0.0000
```

---

Compound: Tb3NdIr
Source: Alexandria
Functional: PBE-GGA
Structure: optimized geometry

Summary:
As for the magnetization: 0.000 μB per cell. The calculation puts the energy above the most stable polymorph in this dataset at 0.000 eV per atom. As for the symmetry: No. 31. As for the formation energy from the elements: -154 kJ/mol of formula units.

Structure (extended XYZ):
```
10
Lattice="6.2654 -0.0003 -0.0001 0.0001 6.5932 -0.0014 0.0001 0.0007 7.6894" Properties=species:S:1:pos:R:3 pbc="T T T"
Tb 2.6701 5.6528 3.4549
Tb 5.8028 3.2665 3.4755
Ir 1.0940 4.4945 5.3876
Tb 5.7660 0.1476 5.3879
Tb 2.6331 2.1784 1.5440
Tb 5.8034 3.2669 7.3004
Ir 4.2266 4.4250 1.5429
Nd 2.6999 2.1338 5.3886
Tb 2.6706 5.6532 7.3195
Nd 5.8324 0.1924 1.5431
```

---

Compound: Tb2NdIr2
Source: Alexandria
Functional: PBE-GGA
Structure: optimized geometry

Summary:
As for the magnetization: 0.000 μB per cell. As for the symmetry: No. 11. As for the formation energy from the elements: -330 kJ/mol of formula units.

Structure (extended XYZ):
```
10
Lattice="4.4471 0.0000 0.0000 0.0000 5.5325 0.7374 0.0000 -0.0037 10.5608" Properties=species:S:1:pos:R:3 pbc="T T T"
Tb 3.3353 4.2510 5.5235
Ir 1.1118 3.8739 7.2279
Nd 1.1118 3.0968 2.6781
Ir 1.1118 1.8933 10.4740
Tb 1.1118 4.8679 10.0312
Ir 3.3353 1.6548 4.0704
Nd 3.3353 2.4320 8.6201
Tb 1.1118 1.2777 5.7747
Ir 3.3353 3.6354 0.8242
Tb 3.3353 0.6608 1.2670
```